1.
{
  "formula": "DyTh2Co2",
  "functional": "GGA-PBE",
  "state": "optimized geometry",
  "crystal_system": "tetragonal",
  "de_polymorph_mev_per_atom": 0,
  "formation_energy_mev_per_atom": -234,
  "density_kg_m3": 11237,
  "total_energy_ev_per_cell": -69.65,
  "lattice_angstrom": [[-1.6027, -1.2357, 3.1506], [-5.5393, -3.3275, -4.1229], [4.1602, -6.4252, -0.4038]],
  "species": ["Dy", "Dy", "Th", "Th", "Th", "Th", "Co", "Co", "Co", "Co"],
  "frac_coords": [[0.0000, 0.0000, 0.0000], [0.0000, 0.5000, 0.5000], [0.5000, 0.1633, 0.6633], [0.5000, 0.6633, 0.8367], [0.5000, 0.8367, 0.3367], [0.5000, 0.3367, 0.1633], [0.0000, 0.3709, 0.8709], [0.0000, 0.8709, 0.6291], [0.0000, 0.6291, 0.1291], [0.0000, 0.1291, 0.3709]]
}


2.
{
  "formula": "AcZnSn3",
  "functional": "GGA-PBE",
  "state": "optimized geometry",
  "crystal_system": "orthorhombic",
  "formation_energy_mev_per_atom": -327,
  "density_kg_m3": 7505,
  "total_energy_ev_per_cell": -38.05,
  "lattice_angstrom": [[4.7012, 0.0000, 0.0000], [0.0000, 4.7687, 0.0000], [0.0000, -2.3844, 12.8006]],
  "species": ["Ac", "Ac", "Zn", "Zn", "Sn", "Sn", "Sn", "Sn", "Sn", "Sn"],
  "frac_coords": [[0.5000, 0.8325, 0.6650], [0.5000, 0.1675, 0.3350], [0.0000, 0.6155, 0.2311], [0.0000, 0.3845, 0.7689], [0.0000, 0.0587, 0.1174], [0.0000, 0.9413, 0.8826], [0.0000, 0.2818, 0.5637], [0.0000, 0.7182, 0.4363], [0.5000, 0.4420, 0.8841], [0.5000, 0.5580, 0.1159]]
}


3.
{
  "formula": "Nd2TlHg5",
  "functional": "GGA-PBE",
  "state": "optimized geometry",
  "crystal_system": "orthorhombic",
  "formation_energy_mev_per_atom": -338,
  "density_kg_m3": 11784,
  "total_energy_ev_per_cell": -32.23,
  "lattice_angstrom": [[4.7704, 0.0000, 0.0000], [0.0000, 6.6433, 0.0000], [0.0000, 0.0000, 13.3025]],
  "species": ["Nd", "Nd", "Nd", "Nd", "Tl", "Tl", "Hg", "Hg", "Hg", "Hg", "Hg", "Hg", "Hg", "Hg", "Hg", "Hg"],
  "frac_coords": [[0.5000, 0.2517, 0.6257], [0.5000, 0.7483, 0.3743], [0.5000, 0.2483, 0.1257], [0.5000, 0.7517, 0.8743], [0.0000, 0.0000, 0.5000], [0.0000, 0.5000, 0.0000], [0.0000, 0.0000, 0.0000], [0.0000, 0.5000, 0.5000], [0.0000, 0.5007, 0.7496], [0.0000, 0.4993, 0.2504], [0.0000, 0.9993, 0.2496], [0.0000, 0.0007, 0.7504], [0.5000, 0.2486, 0.8749], [0.5000, 0.7514, 0.1251], [0.5000, 0.2514, 0.3749], [0.5000, 0.7486, 0.6251]]
}


4.
{
  "formula": "CdAsIrRu2",
  "functional": "GGA-PBE",
  "state": "optimized geometry",
  "crystal_system": "tetragonal",
  "formation_energy_mev_per_atom": 1274,
  "density_kg_m3": 10011,
  "total_energy_ev_per_cell": -26.61,
  "lattice_angstrom": [[4.4586, 0.0000, 0.0000], [0.0000, 4.8537, 0.0000], [0.0000, 0.0000, 4.4586]],
  "species": ["Ru", "Ru", "As", "Ir", "Cd"],
  "frac_coords": [[0.0000, 0.0000, 0.5000], [0.5000, 0.0000, 0.0000], [0.0000, 0.0000, 0.0000], [0.5000, 0.5000, 0.5000], [0.0000, 0.5000, 0.0000]]
}


5.
{
  "formula": "TaTlPb2S",
  "functional": "GGA-PBE",
  "state": "optimized geometry",
  "formation_energy_uncorrected_mev_per_atom": 457,
  "crystal_system": "tetragonal",
  "density_kg_m3": 9279,
  "total_energy_ev_per_cell": -23.48,
  "lattice_angstrom": [[-1.1825, 3.8716, 4.0103], [0.8948, -3.0998, 3.2565], [5.4622, 1.6228, 0.0439]],
  "species": ["Pb", "Pb", "Tl", "S", "Ta"],
  "frac_coords": [[0.0000, 0.0000, 0.5000], [0.5000, 0.0000, 0.0000], [0.5000, 0.5000, 0.5000], [0.0000, 0.0000, 0.0000], [0.0000, 0.5000, 0.0000]]
}


6.
{
  "formula": "BaY2FeSn",
  "functional": "GGA-PBE",
  "state": "optimized geometry",
  "crystal_system": "tetragonal",
  "formation_energy_mev_per_atom": 853,
  "density_kg_m3": 4471,
  "total_energy_ev_per_cell": -23.05,
  "lattice_angstrom": [[5.4682, 0.0000, 0.0000], [0.0000, 6.0821, 0.0000], [0.0000, 0.0000, 5.4682]],
  "species": ["Y", "Y", "Fe", "Ba", "Sn"],
  "frac_coords": [[0.0000, 0.0000, 0.5000], [0.5000, 0.0000, 0.0000], [0.5000, 0.5000, 0.5000], [0.0000, 0.5000, 0.0000], [0.0000, 0.0000, 0.0000]]
}